KZn3Pt: optimized geometry, GGA-PBEsol. Values from VASP.

Quantum ESPRESSO input file:
```
&SYSTEM
  ibrav = 0, nat = 5, ntyp = 3
/
ATOMIC_SPECIES
Zn 65.41 Zn.upf
K 39.10 K.upf
Pt 195.08 Pt.upf
CELL_PARAMETERS angstrom
4.859 0.000 0.000
0.000 4.859 0.000
0.000 0.000 4.859
ATOMIC_POSITIONS angstrom
Zn 0.000 2.429 0.000
Zn 0.000 0.000 2.429
Zn 2.429 0.000 0.000
K 2.429 2.429 2.429
Pt 0.000 0.000 0.000
```

Properties
Energy of formation from the pure elements = -0.203 eV per atom
Magnetic moment = 0.000 μB per formula unit
Space-group type = Pm-3m

---

ScFeBr: optimized geometry, GGA-PBEsol. Values from VASP.

Quantum ESPRESSO input file:
```
&SYSTEM
  ibrav = 0, nat = 3, ntyp = 3
/
ATOMIC_SPECIES
Br 79.90 Br.upf
Fe 55.84 Fe.upf
Sc 44.96 Sc.upf
CELL_PARAMETERS angstrom
4.454 0.000 0.000
2.227 3.857 0.000
2.227 1.286 3.637
ATOMIC_POSITIONS angstrom
Br 0.000 0.000 0.000
Fe 4.454 2.572 1.818
Sc 2.227 1.286 0.909
```

Properties
Formation energy without anion corrections = 1.17 eV/f.u.
Magnetic moment = 1.980 μB per formula unit
Space-group type = F-43m

---

LiSc2Zn: optimized geometry, GGA-PBEsol. Values from VASP.

Quantum ESPRESSO input file:
```
&SYSTEM
  ibrav = 0, nat = 4, ntyp = 3
/
ATOMIC_SPECIES
Sc 44.96 Sc.upf
Zn 65.41 Zn.upf
Li 6.94 Li.upf
CELL_PARAMETERS angstrom
-2.591 -0.742 -1.320
-0.054 -0.680 -2.922
0.893 -10.946 0.991
ATOMIC_POSITIONS angstrom
Sc -2.182 -4.150 -3.616
Sc 0.431 -8.219 0.365
Zn 0.000 0.000 0.000
Li -0.876 -6.184 -1.626
```

Properties
Energy of formation from the pure elements = 0.373 eV per atom
Magnetic moment = 0.001 μB per formula unit
Space-group type = R-3m